# 1
# PBE CsBeN, optimized geometry
data_CsBeN
_chemical_formula_sum 'Cs4 Be4 N4'
_space_group_name_H-M_alt 'P 1'
_space_group_IT_number 1
_cell_length_a 10.158
_cell_length_b 5.138
_cell_length_c 5.814
_cell_angle_alpha 90.00
_cell_angle_beta 90.00
_cell_angle_gamma 90.00
loop_
_space_group_symop_operation_xyz
'x,y,z'
loop_
_atom_site_label
_atom_site_type_symbol
_atom_site_fract_x
_atom_site_fract_y
_atom_site_fract_z
Cs1 Cs 0.158 0.250 0.532
N1 N 0.542 0.750 0.620
Be1 Be 0.000 0.500 0.000
N2 N 0.042 0.750 0.880
Be2 Be 0.500 0.000 0.500
Cs2 Cs 0.658 0.250 0.968
Cs3 Cs 0.842 0.750 0.468
N3 N 0.458 0.250 0.380
Cs4 Cs 0.342 0.750 0.032
Be3 Be 0.000 0.000 0.000
Be4 Be 0.500 0.500 0.500
N4 N 0.958 0.250 0.120
# - Electronic total energy: -4.754 eV/atom
# - Formation energy from raw total energies: -452 meV per atom
# - Energy above the most stable polymorph in this dataset: 0 meV/atom
# - Size of the total moment: 0.000 μB/atom
# - SG: Pnma (62)

# 2
# PBE Cs2BeN, optimized geometry
data_Cs2BeN
_chemical_formula_sum 'Cs4 Be2 N2'
_space_group_name_H-M_alt 'P 1'
_space_group_IT_number 1
_cell_length_a 9.314
_cell_length_b 9.314
_cell_length_c 9.314
_cell_angle_alpha 91.74
_cell_angle_beta 91.74
_cell_angle_gamma 159.92
loop_
_space_group_symop_operation_xyz
'x,y,z'
loop_
_atom_site_label
_atom_site_type_symbol
_atom_site_fract_x
_atom_site_fract_y
_atom_site_fract_z
N1 N 0.250 0.750 0.500
Cs1 Cs 0.102 0.875 0.727
N2 N 0.000 0.000 0.000
Cs2 Cs 0.125 0.852 0.227
Cs3 Cs 0.148 0.375 0.273
Be1 Be 0.500 0.500 0.000
Be2 Be 0.750 0.250 0.500
Cs4 Cs 0.625 0.898 0.773
# - Electronic total energy: -3.424 eV/atom
# - Formation energy from raw total energies: 16 meV per atom
# - Energy above the most stable polymorph in this dataset: 0 meV/atom
# - Size of the total moment: 0.034 μB/atom
# - SG: I-42d (122)

# 3
# PBE CsBe3N, optimized geometry
data_CsBe3N
_chemical_formula_sum 'Cs1 Be3 N1'
_space_group_name_H-M_alt 'P 1'
_space_group_IT_number 1
_cell_length_a 4.153
_cell_length_b 4.153
_cell_length_c 4.153
_cell_angle_alpha 90.00
_cell_angle_beta 90.00
_cell_angle_gamma 90.00
loop_
_space_group_symop_operation_xyz
'x,y,z'
loop_
_atom_site_label
_atom_site_type_symbol
_atom_site_fract_x
_atom_site_fract_y
_atom_site_fract_z
Be1 Be 0.000 0.000 0.500
Be2 Be 0.000 0.500 0.000
N1 N 0.000 0.000 0.000
Cs1 Cs 0.500 0.500 0.500
Be3 Be 0.500 0.000 0.000
# - Electronic total energy: -2.610 eV/atom
# - Formation energy from raw total energies: 1462 meV per atom
# - Energy above the most stable polymorph in this dataset: 0 meV/atom
# - Size of the total moment: 0.000 μB/atom
# - SG: Pm-3m (221)

# 4
# PBE CsBeN3, optimized geometry
data_CsBeN3
_chemical_formula_sum 'Cs1 Be1 N3'
_space_group_name_H-M_alt 'P 1'
_space_group_IT_number 1
_cell_length_a 4.270
_cell_length_b 4.270
_cell_length_c 4.270
_cell_angle_alpha 90.00
_cell_angle_beta 90.00
_cell_angle_gamma 90.00
loop_
_space_group_symop_operation_xyz
'x,y,z'
loop_
_atom_site_label
_atom_site_type_symbol
_atom_site_fract_x
_atom_site_fract_y
_atom_site_fract_z
N1 N 0.500 0.000 0.000
Cs1 Cs 0.000 0.000 0.000
N2 N 0.000 0.000 0.500
N3 N 0.000 0.500 0.000
Be1 Be 0.500 0.500 0.500
# - Electronic total energy: -2.435 eV/atom
# - Formation energy from raw total energies: 3476 meV per atom
# - Size of the total moment: 0.000 μB/atom
# - SG: Pm-3m (221)

# 5
# PBE Cs2BeN, optimized geometry
data_Cs2BeN
_chemical_formula_sum 'Cs2 Be1 N1'
_space_group_name_H-M_alt 'P 1'
_space_group_IT_number 1
_cell_length_a 5.694
_cell_length_b 5.694
_cell_length_c 5.694
_cell_angle_alpha 60.00
_cell_angle_beta 60.00
_cell_angle_gamma 60.00
loop_
_space_group_symop_operation_xyz
'x,y,z'
loop_
_atom_site_label
_atom_site_type_symbol
_atom_site_fract_x
_atom_site_fract_y
_atom_site_fract_z
Be1 Be 0.000 0.000 0.000
Cs1 Cs 0.750 0.750 0.750
N1 N 0.500 0.500 0.500
Cs2 Cs 0.250 0.250 0.250
# - Electronic total energy: -2.056 eV/atom
# - Formation energy from raw total energies: 1384 meV per atom
# - Energy above the most stable polymorph in this dataset: 1368 meV/atom
# - Size of the total moment: 0.250 μB/atom
# - SG: Fm-3m (225)

# 6
# PBE CsBeN, optimized geometry
data_CsBeN
_chemical_formula_sum 'Cs4 Be4 N4'
_space_group_name_H-M_alt 'P 1'
_space_group_IT_number 1
_cell_length_a 6.995
_cell_length_b 3.244
_cell_length_c 10.067
_cell_angle_alpha 90.00
_cell_angle_beta 90.00
_cell_angle_gamma 90.00
loop_
_space_group_symop_operation_xyz
'x,y,z'
loop_
_atom_site_label
_atom_site_type_symbol
_atom_site_fract_x
_atom_site_fract_y
_atom_site_fract_z
Cs1 Cs 0.514 0.250 0.676
N1 N 0.154 0.250 0.472
N2 N 0.846 0.750 0.528
Be1 Be 0.912 0.250 0.509
Cs2 Cs 0.014 0.250 0.824
Cs3 Cs 0.986 0.750 0.176
N3 N 0.346 0.750 0.972
Be2 Be 0.412 0.250 0.991
Cs4 Cs 0.486 0.750 0.324
Be3 Be 0.588 0.750 0.009
Be4 Be 0.088 0.750 0.491
N4 N 0.654 0.250 0.028
# - Electronic total energy: -4.682 eV/atom
# - Formation energy from raw total energies: -380 meV per atom
# - Energy above the most stable polymorph in this dataset: 72 meV/atom
# - Size of the total moment: 0.000 μB/atom
# - SG: Pnma (62)

# 7
# PBE CsBeN2, optimized geometry
data_CsBeN2
_chemical_formula_sum 'Cs1 Be1 N2'
_space_group_name_H-M_alt 'P 1'
_space_group_IT_number 1
_cell_length_a 4.375
_cell_length_b 4.375
_cell_length_c 4.375
_cell_angle_alpha 60.00
_cell_angle_beta 60.00
_cell_angle_gamma 60.00
loop_
_space_group_symop_operation_xyz
'x,y,z'
loop_
_atom_site_label
_atom_site_type_symbol
_atom_site_fract_x
_atom_site_fract_y
_atom_site_fract_z
Cs1 Cs 0.500 0.500 0.500
Be1 Be 0.000 0.000 0.000
N1 N 0.250 0.250 0.250
N2 N 0.750 0.750 0.750
# - Electronic total energy: -2.913 eV/atom
# - Formation energy from raw total energies: 2395 meV per atom
# - Energy above the most stable polymorph in this dataset: 1331 meV/atom
# - Size of the total moment: 0.750 μB/atom
# - SG: Fm-3m (225)

# 8
# PBE CsBeN, optimized geometry
data_CsBeN
_chemical_formula_sum 'Cs4 Be4 N4'
_space_group_name_H-M_alt 'P 1'
_space_group_IT_number 1
_cell_length_a 3.240
_cell_length_b 7.018
_cell_length_c 10.068
_cell_angle_alpha 92.40
_cell_angle_beta 90.00
_cell_angle_gamma 90.00
loop_
_space_group_symop_operation_xyz
'x,y,z'
loop_
_atom_site_label
_atom_site_type_symbol
_atom_site_fract_x
_atom_site_fract_y
_atom_site_fract_z
Cs1 Cs 0.483 0.262 0.073
Be1 Be 0.514 0.339 0.757
Cs2 Cs 0.983 0.238 0.427
Be2 Be 0.986 0.839 0.257
Be3 Be 0.486 0.661 0.243
Be4 Be 0.014 0.161 0.743
N1 N 0.014 0.406 0.776
N2 N 0.986 0.594 0.224
Cs3 Cs 0.017 0.762 0.573
N3 N 0.514 0.094 0.724
N4 N 0.486 0.906 0.276
Cs4 Cs 0.517 0.738 0.927
# - Electronic total energy: -4.683 eV/atom
# - Formation energy from raw total energies: -381 meV per atom
# - Energy above the most stable polymorph in this dataset: 71 meV/atom
# - Size of the total moment: 0.000 μB/atom
# - SG: P2_1/c (14)